1.
PIrPtO2 meta-GGA SCAN single point on PBEsol structure; space group = P4/mmm (123); energy relative to the elements, uncorrected = -0.0619 eV per atom; energy above the lowest structure with this stoichiometry = 0.000 eV/atom
1.0
3.619 0.000 0.000
0.000 3.619 0.000
0.000 0.000 5.579
P Ir Pt O
1 1 1 2
direct
0.000 0.000 0.000 P
0.000 0.000 0.500 Ir
0.500 0.500 0.000 Pt
0.000 0.500 0.500 O
0.500 0.000 0.500 O

2.
KCd2Rh meta-GGA SCAN single point on PBEsol structure; space group = I-4m2 (119); ΔE_f = 0.353 eV per atom; energy above the lowest structure with this stoichiometry = 0.307 eV/atom
1.0
-2.160 2.160 4.384
2.160 -2.160 4.384
2.160 2.160 -4.384
K Cd Rh
1 2 1
direct
0.000 0.000 0.000 K
0.250 0.750 0.500 Cd
0.500 0.500 0.000 Cd
0.750 0.250 0.500 Rh

3.
MoOsBr2 meta-GGA SCAN single point on PBEsol structure; space group = Cm (8); energy relative to the elements, uncorrected = 0.0209 eV per atom; energy above the lowest structure with this stoichiometry = 0.000 eV/atom
1.0
3.008 -1.739 0.000
3.008 1.739 0.000
-1.310 0.000 8.582
Mo Os Br
1 1 2
direct
0.000 0.000 0.000 Mo
0.340 0.340 0.158 Os
0.597 0.597 0.775 Br
0.858 0.858 0.388 Br

Please write out number 1 again, unchanged.
PIrPtO2 meta-GGA SCAN single point on PBEsol structure; space group = P4/mmm (123); energy relative to the elements, uncorrected = -0.0619 eV per atom; energy above the lowest structure with this stoichiometry = 0.000 eV/atom
1.0
3.619 0.000 0.000
0.000 3.619 0.000
0.000 0.000 5.579
P Ir Pt O
1 1 1 2
direct
0.000 0.000 0.000 P
0.000 0.000 0.500 Ir
0.500 0.500 0.000 Pt
0.000 0.500 0.500 O
0.500 0.000 0.500 O

The highest energy above the lowest structure with this stoichiometry belongs to which entry?
KCd2Rh

Which value of energy above the lowest structure with this stoichiometry does entry 3 give?
0.000 eV/atom